Run P
Entry from the Alexandria database: a geometry-optimized TaReSe2 structure (PBE-GGA).

Calculated values
Crystal system: monoclinic
Calculated volume (Å³/cell): 185.9

```
TaReSe2
1.0
9.055 0.000 0.000
0.000 3.310 0.000
-0.807 0.000 6.204
Ta Re Se
2 2 4
Direct
0.000 0.000 0.000 Ta
0.500 0.500 0.000 Ta
0.284 0.000 0.896 Re
0.784 0.500 0.896 Re
0.010 0.500 0.675 Se
0.238 0.500 0.192 Se
0.510 0.000 0.675 Se
0.738 0.000 0.192 Se
```



Run Q
Entry from the Alexandria database: a geometry-optimized TaReSe2 structure (PBE-GGA).

Calculated values
Crystal system: trigonal
Calculated volume (Å³/cell): 218.1

```
TaReSe2
1.0
3.127 0.000 0.000
-1.563 2.708 0.000
0.000 0.000 25.758
Ta Re Se
3 3 6
Direct
0.000 0.000 0.000 Ta
0.333 0.667 0.667 Ta
0.667 0.333 0.333 Ta
0.000 0.000 0.500 Re
0.333 0.667 0.167 Re
0.667 0.333 0.833 Re
0.000 0.000 0.406 Se
0.000 0.000 0.594 Se
0.333 0.667 0.073 Se
0.333 0.667 0.261 Se
0.667 0.333 0.739 Se
0.667 0.333 0.927 Se
```



Calculated relative energies: run P 0; run Q 106, given in meV per atom